# 1
Compound: Sn2RhF
Source: the Alexandria database
Functional: PBE
Structure: relaxed

a = 6.556 Å, b = 6.556 Å, c = 6.556 Å
α = 90.00°, β = 90.00°, γ = 90.00°
Positions (direct):
1 Sn 0.250 0.250 0.250
2 Sn 0.250 0.250 0.750
3 Sn 0.250 0.750 0.250
4 Sn 0.250 0.750 0.750
5 Sn 0.750 0.250 0.250
6 Sn 0.750 0.250 0.750
7 Sn 0.750 0.750 0.250
8 Sn 0.750 0.750 0.750
9 Rh 0.000 0.000 0.000
10 Rh 0.000 0.500 0.500
11 Rh 0.500 0.000 0.500
12 Rh 0.500 0.500 0.000
13 F 0.000 0.000 0.500
14 F 0.000 0.500 0.000
15 F 0.500 0.000 0.000
16 F 0.500 0.500 0.500

Properties
M_tot ... 0.000 μB/atom
Formation energy without anion corrections ... -0.73 eV per atom
Final energy ... -20.166 eV/f.u.

=====

# 2
Compound: Ti3SnO
Source: the Alexandria database
Functional: PBE
Structure: relaxed

a = 5.141 Å, b = 5.141 Å, c = 5.141 Å
α = 90.00°, β = 90.00°, γ = 90.00°
Positions (direct):
1 Ti 0.000 0.000 0.500
2 Ti 0.000 0.500 0.000
3 Ti 0.500 0.000 0.000
4 Sn 0.000 0.000 0.000
5 O 0.500 0.500 0.500

Properties
M_tot ... 1.181 μB/atom
Formation energy without anion corrections ... 1.33 eV per atom
Final energy ... -25.978 eV/f.u.

=====

# 3
Compound: Li2Ag4Sn3
Source: the Alexandria database
Functional: PBE
Structure: relaxed

a = 4.317 Å, b = 5.206 Å, c = 8.935 Å
α = 75.73°, β = 89.72°, γ = 66.31°
Positions (direct):
1 Li 0.160 0.175 0.214
2 Li 0.840 0.825 0.786
3 Ag 0.167 0.168 0.895
4 Ag 0.496 0.495 0.328
5 Ag 0.504 0.505 0.672
6 Ag 0.833 0.832 0.105
7 Sn 0.169 0.162 0.570
8 Sn 0.500 0.500 0.000
9 Sn 0.831 0.838 0.430

Properties
M_tot ... 0.000 μB/atom
Final energy ... -28.550 eV/f.u.

=====

# 4
Compound: Pm3SmHo6Er2
Source: the Alexandria database
Functional: PBE
Structure: relaxed

a = 6.169 Å, b = 6.169 Å, c = 11.776 Å
α = 94.99°, β = 94.99°, γ = 119.97°
Positions (direct):
1 Pm 0.000 0.000 0.000
2 Pm 0.333 0.667 0.000
3 Pm 0.667 0.333 0.000
4 Sm 0.500 0.500 0.500
5 Ho 0.083 0.417 0.253
6 Ho 0.249 0.249 0.747
7 Ho 0.417 0.083 0.253
8 Ho 0.583 0.917 0.747
9 Ho 0.751 0.751 0.253
10 Ho 0.917 0.583 0.747
11 Er 0.167 0.833 0.500
12 Er 0.833 0.167 0.500

Properties
M_tot ... 0.000 μB/atom
Final energy ... -55.351 eV/f.u.

=====

# 5
Compound: RePt3Br
Source: the Alexandria database
Functional: PBE
Structure: relaxed

a = 4.696 Å, b = 4.696 Å, c = 4.696 Å
α = 90.00°, β = 90.00°, γ = 90.00°
Positions (direct):
1 Re 0.000 0.000 0.000
2 Pt 0.000 0.500 0.500
3 Pt 0.500 0.000 0.500
4 Pt 0.500 0.500 0.000
5 Br 0.500 0.500 0.500

Properties
M_tot ... 0.775 μB/atom
Formation energy without anion corrections ... 1.83 eV per atom
Final energy ... -23.112 eV/f.u.

=====

# 6
Compound: ScCu2SI
Source: the Alexandria database
Functional: PBE
Structure: relaxed

a = 4.757 Å, b = 4.757 Å, c = 5.570 Å
α = 90.00°, β = 90.00°, γ = 90.00°
Positions (direct):
1 Sc 0.000 0.000 0.000
2 Cu 0.000 0.500 0.500
3 Cu 0.500 0.000 0.500
4 S 0.500 0.500 0.000
5 I 0.000 0.000 0.500

Properties
M_tot ... 0.000 μB/atom
Formation energy without anion corrections ... 0.66 eV per atom
Final energy ... -16.919 eV/f.u.

=====

# 7
Compound: BaLa2HgIr
Source: the Alexandria database
Functional: PBE
Structure: relaxed

a = 5.576 Å, b = 5.576 Å, c = 5.551 Å
α = 90.00°, β = 90.00°, γ = 90.00°
Positions (direct):
1 Ba 0.000 0.000 0.000
2 La 0.000 0.500 0.500
3 La 0.500 0.000 0.500
4 Hg 0.500 0.500 0.000
5 Ir 0.500 0.500 0.500

Properties
M_tot ... 0.000 μB/atom
Final energy ... -22.486 eV/f.u.

=====

# 8
Compound: Al2VAu2
Source: the Alexandria database
Functional: PBE
Structure: relaxed

a = 7.386 Å, b = 7.386 Å, c = 2.982 Å
α = 90.00°, β = 90.00°, γ = 90.00°
Positions (direct):
1 Al 0.142 0.358 0.000
2 Al 0.358 0.858 0.000
3 Al 0.642 0.142 0.000
4 Al 0.858 0.642 0.000
5 V 0.000 0.000 0.000
6 V 0.500 0.500 0.000
7 Au 0.158 0.658 0.500
8 Au 0.342 0.158 0.500
9 Au 0.658 0.842 0.500
10 Au 0.842 0.342 0.500

Properties
M_tot ... 0.104 μB/atom
Final energy ... -23.592 eV/f.u.

=====

# 9
Compound: Ni7PdPt4
Source: the Alexandria database
Functional: PBE
Structure: relaxed

a = 5.078 Å, b = 5.078 Å, c = 8.934 Å
α = 112.07°, β = 112.07°, γ = 52.73°
Positions (direct):
1 Ni 0.000 0.000 0.000
2 Ni 0.150 0.150 0.616
3 Ni 0.207 0.207 0.913
4 Ni 0.376 0.376 0.530
5 Ni 0.624 0.624 0.470
6 Ni 0.793 0.793 0.087
7 Ni 0.850 0.850 0.384
8 Pd 0.500 0.500 0.000
9 Pt 0.091 0.091 0.306
10 Pt 0.352 0.352 0.228
11 Pt 0.648 0.648 0.772
12 Pt 0.909 0.909 0.694

Properties
M_tot ... 0.514 μB/atom
Final energy ... -67.269 eV/f.u.

=====

# 10
Compound: GaCuS6
Source: the Alexandria database
Functional: PBE
Structure: relaxed

a = 3.621 Å, b = 7.141 Å, c = 7.574 Å
α = 64.34°, β = 89.73°, γ = 88.69°
Positions (direct):
1 Ga 0.000 0.000 0.000
2 Cu 0.500 0.500 0.000
3 S 0.005 0.282 0.096
4 S 0.387 0.443 0.644
5 S 0.494 0.866 0.260
6 S 0.506 0.134 0.740
7 S 0.613 0.557 0.356
8 S 0.995 0.718 0.904

Properties
M_tot ... 0.000 μB/atom
Formation energy without anion corrections ... -0.07 eV per atom
Final energy ... -32.447 eV/f.u.

=====

# 11
Compound: SbAuCl2
Source: the Alexandria database
Functional: PBE
Structure: relaxed

a = 7.087 Å, b = 7.087 Å, c = 7.087 Å
α = 90.00°, β = 90.00°, γ = 90.00°
Positions (direct):
1 Sb 0.000 0.000 0.000
2 Sb 0.000 0.500 0.500
3 Sb 0.500 0.000 0.500
4 Sb 0.500 0.500 0.000
5 Au 0.000 0.000 0.500
6 Au 0.000 0.500 0.000
7 Au 0.500 0.000 0.000
8 Au 0.500 0.500 0.500
9 Cl 0.250 0.250 0.250
10 Cl 0.250 0.250 0.750
11 Cl 0.250 0.750 0.250
12 Cl 0.250 0.750 0.750
13 Cl 0.750 0.250 0.250
14 Cl 0.750 0.250 0.750
15 Cl 0.750 0.750 0.250
16 Cl 0.750 0.750 0.750

Properties
M_tot ... 0.000 μB/atom
Formation energy without anion corrections ... 0.23 eV per atom
Final energy ... -10.169 eV/f.u.

=====

# 12
Compound: LaPr3Hg4
Source: the Alexandria database
Functional: PBE
Structure: relaxed

a = 5.477 Å, b = 5.477 Å, c = 15.542 Å
α = 90.00°, β = 90.00°, γ = 90.00°
Positions (direct):
1 La 0.000 0.000 0.000
2 La 0.500 0.500 0.500
3 Pr 0.000 0.000 0.252
4 Pr 0.000 0.000 0.500
5 Pr 0.000 0.000 0.748
6 Pr 0.500 0.500 0.000
7 Pr 0.500 0.500 0.248
8 Pr 0.500 0.500 0.752
9 Hg 0.000 0.500 0.126
10 Hg 0.000 0.500 0.374
11 Hg 0.000 0.500 0.626
12 Hg 0.000 0.500 0.874
13 Hg 0.500 0.000 0.126
14 Hg 0.500 0.000 0.374
15 Hg 0.500 0.000 0.626
16 Hg 0.500 0.000 0.874

Properties
M_tot ... 0.230 μB/atom
Final energy ... -24.328 eV/f.u.

=====

# 13
Compound: NaCaSn2S4
Source: the Alexandria database
Functional: PBE
Structure: relaxed

a = 6.954 Å, b = 5.773 Å, c = 6.869 Å
α = 66.08°, β = 49.36°, γ = 64.56°
Positions (direct):
1 Na 0.000 0.000 0.000
2 Ca 0.502 0.502 0.498
3 Sn 0.232 0.232 0.268
4 Sn 0.732 0.732 0.768
5 S 0.003 0.503 0.997
6 S 0.266 0.763 0.237
7 S 0.503 0.003 0.497
8 S 0.763 0.266 0.734

Properties
M_tot ... 0.000 μB/atom
Formation energy without anion corrections ... -0.99 eV per atom
Final energy ... -35.725 eV/f.u.

=====

# 14
Compound: YTmTh2
Source: the Alexandria database
Functional: PBE
Structure: relaxed

a = 3.556 Å, b = 3.556 Å, c = 34.768 Å
α = 90.00°, β = 90.00°, γ = 120.00°
Positions (direct):
1 Y 0.000 0.000 0.000
2 Y 0.333 0.667 0.667
3 Y 0.667 0.333 0.333
4 Tm 0.000 0.000 0.170
5 Tm 0.333 0.667 0.837
6 Tm 0.667 0.333 0.503
7 Th 0.000 0.000 0.420
8 Th 0.000 0.000 0.584
9 Th 0.333 0.667 0.087
10 Th 0.333 0.667 0.251
11 Th 0.667 0.333 0.753
12 Th 0.667 0.333 0.917

Properties
M_tot ... 0.000 μB/atom
Final energy ... -25.608 eV/f.u.

=====

# 15
Compound: Zn2CoOs
Source: the Alexandria database
Functional: PBE
Structure: relaxed

a = 5.967 Å, b = 5.967 Å, c = 5.967 Å
α = 90.00°, β = 90.00°, γ = 90.00°
Positions (direct):
1 Zn 0.000 0.000 0.000
2 Zn 0.000 0.500 0.500
3 Zn 0.250 0.250 0.250
4 Zn 0.250 0.750 0.750
5 Zn 0.500 0.000 0.500
6 Zn 0.500 0.500 0.000
7 Zn 0.750 0.250 0.750
8 Zn 0.750 0.750 0.250
9 Co 0.250 0.250 0.750
10 Co 0.250 0.750 0.250
11 Co 0.750 0.250 0.250
12 Co 0.750 0.750 0.750
13 Os 0.000 0.000 0.500
14 Os 0.000 0.500 0.000
15 Os 0.500 0.000 0.000
16 Os 0.500 0.500 0.500

Properties
M_tot ... 0.579 μB/atom
Final energy ... -20.011 eV/f.u.

=====

# 16
Compound: VCrCuBr
Source: the Alexandria database
Functional: PBE
Structure: relaxed

a = 11.633 Å, b = 4.139 Å, c = 3.105 Å
α = 90.00°, β = 94.54°, γ = 90.00°
Positions (direct):
1 V 0.000 0.000 0.000
2 V 0.500 0.500 0.000
3 Cr 0.339 0.500 0.605
4 Cr 0.839 0.000 0.605
5 Cu 0.452 0.000 0.461
6 Cu 0.952 0.500 0.461
7 Br 0.195 0.000 0.617
8 Br 0.695 0.500 0.617

Properties
M_tot ... 0.219 μB/atom
Formation energy without anion corrections ... 0.42 eV per atom
Final energy ... -22.847 eV/f.u.

=====

# 17
Compound: CaP4H2O12
Source: the Alexandria database
Functional: PBE
Structure: relaxed

a = 5.867 Å, b = 9.771 Å, c = 8.954 Å
α = 90.00°, β = 92.51°, γ = 90.00°
Positions (direct):
1 Ca 0.000 0.000 0.000
2 Ca 0.000 0.500 0.500
3 P 0.292 0.214 0.302
4 P 0.292 0.286 0.802
5 P 0.385 0.722 0.939
6 P 0.385 0.778 0.439
7 P 0.615 0.222 0.561
8 P 0.615 0.278 0.061
9 P 0.708 0.714 0.198
10 P 0.708 0.786 0.698
11 H 0.201 0.539 0.831
12 H 0.201 0.961 0.331
13 H 0.799 0.039 0.669
14 H 0.799 0.461 0.169
15 O 0.146 0.189 0.882
16 O 0.146 0.311 0.382
17 O 0.186 0.625 0.897
18 O 0.186 0.875 0.397
19 O 0.192 0.086 0.230
20 O 0.192 0.414 0.730
21 O 0.319 0.633 0.456
22 O 0.319 0.867 0.956
23 O 0.423 0.197 0.680
24 O 0.423 0.303 0.180
25 O 0.500 0.157 0.411
26 O 0.500 0.343 0.911
27 O 0.500 0.657 0.089
28 O 0.500 0.843 0.589
29 O 0.577 0.697 0.820
30 O 0.577 0.803 0.320
31 O 0.681 0.133 0.044
32 O 0.681 0.367 0.544
33 O 0.808 0.586 0.270
34 O 0.808 0.914 0.770
35 O 0.814 0.125 0.603
36 O 0.814 0.375 0.103
37 O 0.854 0.689 0.618
38 O 0.854 0.811 0.118

Properties
M_tot ... 0.000 μB/atom
Final energy ... -130.464 eV/f.u.

=====

# 18
Compound: LiNi2Rh
Source: the Alexandria database
Functional: PBE
Structure: relaxed

a = 2.714 Å, b = 4.353 Å, c = 8.485 Å
α = 90.00°, β = 90.00°, γ = 90.00°
Positions (direct):
1 Li 0.000 0.000 0.000
2 Li 0.500 0.500 0.000
3 Ni 0.000 0.000 0.515
4 Ni 0.000 0.500 0.750
5 Ni 0.500 0.000 0.750
6 Ni 0.500 0.500 0.515
7 Rh 0.000 0.500 0.261
8 Rh 0.500 0.000 0.261

Properties
M_tot ... 0.464 μB/atom
Final energy ... -20.479 eV/f.u.

=====

# 19
Compound: LaIn2GaPd4
Source: the Alexandria database
Functional: PBE
Structure: relaxed

a = 9.230 Å, b = 9.230 Å, c = 9.230 Å
α = 28.53°, β = 28.53°, γ = 28.53°
Positions (direct):
1 La 0.000 0.000 0.000
2 In 0.243 0.243 0.243
3 In 0.757 0.757 0.757
4 Ga 0.500 0.500 0.500
5 Pd 0.136 0.136 0.136
6 Pd 0.402 0.402 0.402
7 Pd 0.598 0.598 0.598
8 Pd 0.864 0.864 0.864

Properties
M_tot ... 0.000 μB/atom
Final energy ... -39.302 eV/f.u.

=====

# 20
Compound: Pm5Cu2Pd5
Source: the Alexandria database
Functional: PBE
Structure: relaxed

a = 7.953 Å, b = 7.953 Å, c = 11.066 Å
α = 128.02°, β = 128.02°, γ = 30.02°
Positions (direct):
1 Pm 0.000 0.000 0.000
2 Pm 0.103 0.103 0.419
3 Pm 0.204 0.204 0.826
4 Pm 0.796 0.796 0.174
5 Pm 0.897 0.897 0.581
6 Cu 0.362 0.362 0.743
7 Cu 0.638 0.638 0.257
8 Pd 0.262 0.262 0.330
9 Pd 0.430 0.430 0.151
10 Pd 0.500 0.500 0.500
11 Pd 0.570 0.570 0.849
12 Pd 0.738 0.738 0.670

Properties
M_tot ... 0.000 μB/atom
Final energy ... -65.762 eV/f.u.

=====

# 21
Compound: Ca6Mg2P
Source: the Alexandria database
Functional: PBE
Structure: relaxed

a = 7.634 Å, b = 7.638 Å, c = 13.302 Å
α = 90.00°, β = 125.01°, γ = 90.00°
Positions (direct):
1 Ca 0.242 0.250 0.001
2 Ca 0.242 0.250 0.501
3 Ca 0.244 0.000 0.247
4 Ca 0.244 0.500 0.747
5 Ca 0.251 0.741 0.501
6 Ca 0.251 0.759 0.001
7 Ca 0.749 0.241 0.999
8 Ca 0.749 0.259 0.499
9 Ca 0.756 0.000 0.753
10 Ca 0.756 0.500 0.253
11 Ca 0.758 0.750 0.499
12 Ca 0.758 0.750 0.999
13 Mg 0.252 0.501 0.250
14 Mg 0.252 0.999 0.750
15 Mg 0.748 0.001 0.250
16 Mg 0.748 0.499 0.750
17 P 0.500 0.000 0.500
18 P 0.500 0.500 0.000

Properties
M_tot ... 0.000 μB/atom
Final energy ... -23.156 eV/f.u.

=====

# 22
Compound: Nd2NbZn
Source: the Alexandria database
Functional: PBE
Structure: relaxed

a = 3.254 Å, b = 3.254 Å, c = 33.357 Å
α = 90.00°, β = 90.00°, γ = 120.00°
Positions (direct):
1 Nd 0.000 0.000 0.090
2 Nd 0.000 0.000 0.910
3 Nd 0.333 0.667 0.577
4 Nd 0.333 0.667 0.756
5 Nd 0.667 0.333 0.244
6 Nd 0.667 0.333 0.423
7 Nb 0.000 0.000 0.000
8 Nb 0.333 0.667 0.667
9 Nb 0.667 0.333 0.333
10 Zn 0.000 0.000 0.500
11 Zn 0.333 0.667 0.167
12 Zn 0.667 0.333 0.833

Properties
M_tot ... 0.000 μB/atom
Final energy ... -18.716 eV/f.u.